# TbCe5Sb3 | Alexandria | PBE-GGA | relaxed
data_TbCe5Sb3
_chemical_formula_sum 'Tb4 Ce20 Sb12'
_symmetry_space_group_name_H-M 'C 1 2/m 1'
_symmetry_Int_Tables_number 12
_symmetry_space_group_name_Hall '-C 2y'
_cell_length_a 11.050
_cell_length_b 14.274
_cell_length_c 6.643
_cell_angle_alpha 90.00
_cell_angle_beta 95.28
_cell_angle_gamma 90.00
loop_
_atom_site_label
_atom_site_type_symbol
_atom_site_fract_x
_atom_site_fract_y
_atom_site_fract_z
Tb1 Tb 0.000 0.000 0.000
Tb2 Tb 0.000 0.000 0.500
Ce1 Ce 0.000 0.331 0.000
Ce2 Ce 0.000 0.333 0.500
Ce3 Ce 0.177 0.500 0.777
Ce4 Ce 0.185 0.172 0.782
Sb1 Sb 0.128 0.162 0.273
Sb2 Sb 0.134 0.500 0.270
# Total magnetization (μB/cell): 24.8
# E_tot (eV per atom): -5.856

***

# Tb2Ce5Sb4 | Alexandria | PBE-GGA | relaxed
data_Tb2Ce5Sb4
_chemical_formula_sum 'Tb4 Ce10 Sb8'
_symmetry_space_group_name_H-M 'C 1 2/m 1'
_symmetry_Int_Tables_number 12
_symmetry_space_group_name_Hall '-C 2y'
_cell_length_a 22.969
_cell_length_b 4.232
_cell_length_c 7.364
_cell_angle_alpha 90.00
_cell_angle_beta 97.20
_cell_angle_gamma 90.00
loop_
_atom_site_label
_atom_site_type_symbol
_atom_site_fract_x
_atom_site_fract_y
_atom_site_fract_z
Tb1 Tb 0.063 0.000 0.368
Ce1 Ce 0.000 0.500 0.000
Ce2 Ce 0.189 0.000 0.046
Ce3 Ce 0.199 0.000 0.677
Sb1 Sb 0.070 0.000 0.784
Sb2 Sb 0.160 0.500 0.347
# Total magnetization (μB/cell): 11.7
# E_tot (eV per atom): -5.527

***

# Tb2CeSb | Alexandria | PBE-GGA | relaxed
data_Tb2CeSb
_chemical_formula_sum 'Tb2 Ce1 Sb1'
_symmetry_space_group_name_H-M 'P 4/m m m'
_symmetry_Int_Tables_number 123
_symmetry_space_group_name_Hall '-P 4 2'
_cell_length_a 3.947
_cell_length_b 3.947
_cell_length_c 7.271
_cell_angle_alpha 90.00
_cell_angle_beta 90.00
_cell_angle_gamma 90.00
loop_
_atom_site_label
_atom_site_type_symbol
_atom_site_fract_x
_atom_site_fract_y
_atom_site_fract_z
Tb1 Tb 0.000 0.000 0.224
Ce1 Ce 0.500 0.500 0.500
Sb1 Sb 0.500 0.500 0.000
# Total magnetization (μB/cell): 0.4
# E_tot (eV per atom): -5.280

***

# TbCe5Sb6 | Alexandria | PBE-GGA | relaxed
data_TbCe5Sb6
_chemical_formula_sum 'Tb2 Ce10 Sb12'
_symmetry_space_group_name_H-M 'C 1 2/m 1'
_symmetry_Int_Tables_number 12
_symmetry_space_group_name_Hall '-C 2y'
_cell_length_a 7.767
_cell_length_b 13.466
_cell_length_c 7.769
_cell_angle_alpha 90.00
_cell_angle_beta 109.52
_cell_angle_gamma 90.00
loop_
_atom_site_label
_atom_site_type_symbol
_atom_site_fract_x
_atom_site_fract_y
_atom_site_fract_z
Tb1 Tb 0.000 0.000 0.000
Ce1 Ce 0.000 0.168 0.500
Ce2 Ce 0.000 0.334 0.000
Ce3 Ce 0.000 0.500 0.500
Sb1 Sb 0.247 0.000 0.751
Sb2 Sb 0.248 0.165 0.248
# Total magnetization (μB/cell): 5.0
# E_tot (eV per atom): -5.975

***

# TbCeSb2 | Alexandria | PBE-GGA | relaxed
data_TbCeSb2
_chemical_formula_sum 'Tb3 Ce3 Sb6'
_symmetry_space_group_name_H-M 'R -3 m'
_symmetry_Int_Tables_number 166
_symmetry_space_group_name_Hall '-R 3 2"'
_cell_length_a 4.4488
_cell_length_b 4.4488
_cell_length_c 21.8083
_cell_angle_alpha 90.00
_cell_angle_beta 90.00
_cell_angle_gamma 120.00
loop_
_atom_site_label
_atom_site_type_symbol
_atom_site_fract_x
_atom_site_fract_y
_atom_site_fract_z
Tb1 Tb 0.0000 0.0000 0.0000
Ce1 Ce 0.0000 0.0000 0.5000
Sb1 Sb 0.0000 0.0000 0.2516
# Total magnetization (μB/cell): 2.4
# E_tot (eV per atom): -5.800

***

# TbCe5Sb5 | Alexandria | PBE-GGA | relaxed
data_TbCe5Sb5
_chemical_formula_sum 'Tb2 Ce10 Sb10'
_symmetry_space_group_name_H-M 'C 1 2/m 1'
_symmetry_Int_Tables_number 12
_symmetry_space_group_name_Hall '-C 2y'
_cell_length_a 14.061
_cell_length_b 6.306
_cell_length_c 8.903
_cell_angle_alpha 90.00
_cell_angle_beta 108.64
_cell_angle_gamma 90.00
loop_
_atom_site_label
_atom_site_type_symbol
_atom_site_fract_x
_atom_site_fract_y
_atom_site_fract_z
Tb1 Tb 0.000 0.000 0.000
Ce1 Ce 0.000 0.000 0.500
Ce2 Ce 0.165 0.500 0.831
Ce3 Ce 0.168 0.500 0.333
Sb1 Sb 0.000 0.500 0.000
Sb2 Sb 0.166 0.000 0.331
Sb3 Sb 0.167 0.000 0.836
# Total magnetization (μB/cell): 13.1
# E_tot (eV per atom): -5.831

***

# Tb2Ce2Sb3 | Alexandria | PBE-GGA | relaxed
data_Tb2Ce2Sb3
_chemical_formula_sum 'Tb4 Ce4 Sb6'
_symmetry_space_group_name_H-M 'C 1 2/m 1'
_symmetry_Int_Tables_number 12
_symmetry_space_group_name_Hall '-C 2y'
_cell_length_a 14.411
_cell_length_b 4.349
_cell_length_c 7.558
_cell_angle_alpha 90.00
_cell_angle_beta 98.49
_cell_angle_gamma 90.00
loop_
_atom_site_label
_atom_site_type_symbol
_atom_site_fract_x
_atom_site_fract_y
_atom_site_fract_z
Tb1 Tb 0.126 0.000 0.377
Ce1 Ce 0.117 0.500 0.886
Sb1 Sb 0.000 0.500 0.500
Sb2 Sb 0.245 0.000 0.751
# Total magnetization (μB/cell): 4.3
# E_tot (eV per atom): -5.563

***

# TbCeSb | Alexandria | PBE-GGA | relaxed
data_TbCeSb
_chemical_formula_sum 'Tb1 Ce1 Sb1'
_symmetry_space_group_name_H-M 'P 3 m 1'
_symmetry_Int_Tables_number 156
_symmetry_space_group_name_Hall 'P 3 -2"'
_cell_length_a 5.1325
_cell_length_b 5.1325
_cell_length_c 4.0067
_cell_angle_alpha 90.00
_cell_angle_beta 90.00
_cell_angle_gamma 120.00
loop_
_atom_site_label
_atom_site_type_symbol
_atom_site_fract_x
_atom_site_fract_y
_atom_site_fract_z
Tb1 Tb 0.0000 0.0000 0.0000
Ce1 Ce 0.3333 0.6667 0.4738
Sb1 Sb 0.6667 0.3333 0.8719
# Total magnetization (μB/cell): 1.6
# E_tot (eV per atom): -5.289

***

# TbCe4Sb6 | Alexandria | PBE-GGA | relaxed
data_TbCe4Sb6
_chemical_formula_sum 'Tb6 Ce24 Sb36'
_symmetry_space_group_name_H-M 'R -3 c'
_symmetry_Int_Tables_number 167
_symmetry_space_group_name_Hall '-R 3 2"c'
_cell_length_a 12.2008
_cell_length_b 12.2008
_cell_length_c 15.5557
_cell_angle_alpha 90.00
_cell_angle_beta 90.00
_cell_angle_gamma 120.00
loop_
_atom_site_label
_atom_site_type_symbol
_atom_site_fract_x
_atom_site_fract_y
_atom_site_fract_z
Tb1 Tb 0.0000 0.0000 0.0000
Ce1 Ce 0.0000 0.0000 0.2500
Ce2 Ce 0.0000 0.3892 0.2500
Sb1 Sb 0.0345 0.2147 0.3865
# Total magnetization (μB/cell): 10.9
# E_tot (eV per atom): -5.718

***

# Tb4CeSb5 | Alexandria | PBE-GGA | relaxed
data_Tb4CeSb5
_chemical_formula_sum 'Tb8 Ce2 Sb10'
_symmetry_space_group_name_H-M 'I 4/m m m'
_symmetry_Int_Tables_number 139
_symmetry_space_group_name_Hall '-I 4 2'
_cell_length_a 4.425
_cell_length_b 4.425
_cell_length_c 31.216
_cell_angle_alpha 90.00
_cell_angle_beta 90.00
_cell_angle_gamma 90.00
loop_
_atom_site_label
_atom_site_type_symbol
_atom_site_fract_x
_atom_site_fract_y
_atom_site_fract_z
Tb1 Tb 0.000 0.000 0.101
Tb2 Tb 0.000 0.000 0.299
Ce1 Ce 0.000 0.000 0.500
Sb1 Sb 0.000 0.000 0.000
Sb2 Sb 0.000 0.000 0.200
Sb3 Sb 0.000 0.000 0.399
# Total magnetization (μB/cell): 1.5
# E_tot (eV per atom): -5.632

***

# TbCeTh2Sb4 | Alexandria | PBE-GGA | relaxed
data_TbCeTh2Sb4
_chemical_formula_sum 'Tb1 Ce1 Th2 Sb4'
_symmetry_space_group_name_H-M 'P 1 2/m 1'
_symmetry_Int_Tables_number 10
_symmetry_space_group_name_Hall '-P 2y'
_cell_length_a 7.745
_cell_length_b 4.484
_cell_length_c 7.770
_cell_angle_alpha 90.00
_cell_angle_beta 109.52
_cell_angle_gamma 90.00
loop_
_atom_site_label
_atom_site_type_symbol
_atom_site_fract_x
_atom_site_fract_y
_atom_site_fract_z
Tb1 Tb 0.000 0.000 0.000
Ce1 Ce 0.000 0.500 0.500
Th1 Th 0.500 0.000 0.500
Th2 Th 0.500 0.500 0.000
Sb1 Sb 0.244 0.500 0.246
Sb2 Sb 0.246 0.000 0.751
# Total magnetization (μB/cell): 1.0
# E_tot (eV per atom): -6.248

***

# TbCe2Tm3Sb6 | Alexandria | PBE-GGA | relaxed
data_TbCe2Tm3Sb6
_chemical_formula_sum 'Tb2 Ce4 Tm6 Sb12'
_symmetry_space_group_name_H-M 'C 1 2/m 1'
_symmetry_Int_Tables_number 12
_symmetry_space_group_name_Hall '-C 2y'
_cell_length_a 19.165
_cell_length_b 4.406
_cell_length_c 8.800
_cell_angle_alpha 90.00
_cell_angle_beta 103.20
_cell_angle_gamma 90.00
loop_
_atom_site_label
_atom_site_type_symbol
_atom_site_fract_x
_atom_site_fract_y
_atom_site_fract_z
Tb1 Tb 0.000 0.000 0.000
Ce1 Ce 0.166 0.500 0.332
Tm1 Tm 0.000 0.000 0.500
Tm2 Tm 0.167 0.500 0.834
Sb1 Sb 0.002 0.500 0.748
Sb2 Sb 0.165 0.000 0.589
Sb3 Sb 0.167 0.000 0.077
# Total magnetization (μB/cell): 3.0
# E_tot (eV per atom): -5.626

***

# Tb2CeTmSb4 | Alexandria | PBE-GGA | relaxed
data_Tb2CeTmSb4
_chemical_formula_sum 'Tb2 Ce1 Tm1 Sb4'
_symmetry_space_group_name_H-M 'P 1 2/m 1'
_symmetry_Int_Tables_number 10
_symmetry_space_group_name_Hall '-P 2y'
_cell_length_a 7.630
_cell_length_b 4.413
_cell_length_c 7.642
_cell_angle_alpha 90.00
_cell_angle_beta 109.44
_cell_angle_gamma 90.00
loop_
_atom_site_label
_atom_site_type_symbol
_atom_site_fract_x
_atom_site_fract_y
_atom_site_fract_z
Tb1 Tb 0.000 0.000 0.000
Tb2 Tb 0.500 0.500 0.000
Ce1 Ce 0.000 0.500 0.500
Tm1 Tm 0.500 0.000 0.500
Sb1 Sb 0.254 0.500 0.252
Sb2 Sb 0.255 0.000 0.752
# Total magnetization (μB/cell): 0.7
# E_tot (eV per atom): -5.619

***

# TbCeTm2Sb4 | Alexandria | PBE-GGA | relaxed
data_TbCeTm2Sb4
_chemical_formula_sum 'Tb1 Ce1 Tm2 Sb4'
_symmetry_space_group_name_H-M 'P 1 2/m 1'
_symmetry_Int_Tables_number 10
_symmetry_space_group_name_Hall '-P 2y'
_cell_length_a 7.600
_cell_length_b 4.396
_cell_length_c 7.611
_cell_angle_alpha 90.00
_cell_angle_beta 109.43
_cell_angle_gamma 90.00
loop_
_atom_site_label
_atom_site_type_symbol
_atom_site_fract_x
_atom_site_fract_y
_atom_site_fract_z
Tb1 Tb 0.000 0.000 0.000
Ce1 Ce 0.000 0.500 0.500
Tm1 Tm 0.500 0.000 0.500
Tm2 Tm 0.500 0.500 0.000
Sb1 Sb 0.256 0.500 0.250
Sb2 Sb 0.258 0.000 0.755
# Total magnetization (μB/cell): 0.7
# E_tot (eV per atom): -5.580

***

# Tb2CeY3Sb6 | Alexandria | PBE-GGA | relaxed
data_Tb2CeY3Sb6
_chemical_formula_sum 'Tb4 Ce2 Y6 Sb12'
_symmetry_space_group_name_H-M 'C 1 2/m 1'
_symmetry_Int_Tables_number 12
_symmetry_space_group_name_Hall '-C 2y'
_cell_length_a 7.644
_cell_length_b 13.242
_cell_length_c 7.646
_cell_angle_alpha 90.00
_cell_angle_beta 109.47
_cell_angle_gamma 90.00
loop_
_atom_site_label
_atom_site_type_symbol
_atom_site_fract_x
_atom_site_fract_y
_atom_site_fract_z
Tb1 Tb 0.000 0.167 0.000
Ce1 Ce 0.000 0.500 0.000
Y1 Y 0.000 0.000 0.500
Y2 Y 0.000 0.334 0.500
Sb1 Sb 0.248 0.000 0.251
Sb2 Sb 0.248 0.168 0.748
# Total magnetization (μB/cell): 1.3
# E_tot (eV per atom): -6.086

***

# TbCe3Y2Sb6 | Alexandria | PBE-GGA | relaxed
data_TbCe3Y2Sb6
_chemical_formula_sum 'Tb2 Ce6 Y4 Sb12'
_symmetry_space_group_name_H-M 'C 1 2/m 1'
_symmetry_Int_Tables_number 12
_symmetry_space_group_name_Hall '-C 2y'
_cell_length_a 7.708
_cell_length_b 13.348
_cell_length_c 7.700
_cell_angle_alpha 90.00
_cell_angle_beta 109.49
_cell_angle_gamma 90.00
loop_
_atom_site_label
_atom_site_type_symbol
_atom_site_fract_x
_atom_site_fract_y
_atom_site_fract_z
Tb1 Tb 0.000 0.000 0.000
Ce1 Ce 0.000 0.167 0.500
Ce2 Ce 0.000 0.500 0.500
Y1 Y 0.000 0.333 0.000
Sb1 Sb 0.248 0.167 0.244
Sb2 Sb 0.248 0.500 0.244
# Total magnetization (μB/cell): 4.8
# E_tot (eV per atom): -6.112

***

# TbCeZnSb | Alexandria | PBE-GGA | relaxed
data_TbCeZnSb
_chemical_formula_sum 'Tb4 Ce4 Zn4 Sb4'
_symmetry_space_group_name_H-M 'F -4 3 m'
_symmetry_Int_Tables_number 216
_symmetry_space_group_name_Hall 'F -4 2 3'
_cell_length_a 7.441
_cell_length_b 7.441
_cell_length_c 7.441
_cell_angle_alpha 90.00
_cell_angle_beta 90.00
_cell_angle_gamma 90.00
loop_
_atom_site_label
_atom_site_type_symbol
_atom_site_fract_x
_atom_site_fract_y
_atom_site_fract_z
Tb1 Tb 0.000 0.000 0.000
Ce1 Ce 0.000 0.000 0.500
Zn1 Zn 0.250 0.250 0.750
Sb1 Sb 0.250 0.250 0.250
# Total magnetization (μB/cell): 5.6
# E_tot (eV per atom): -4.505

***

# Ce12TcSb6 | Alexandria | PBE-GGA | relaxed
data_Ce12TcSb6
_chemical_formula_sum 'Ce36 Tc3 Sb18'
_symmetry_space_group_name_H-M 'R -3'
_symmetry_Int_Tables_number 148
_symmetry_space_group_name_Hall '-R 3'
_cell_length_a 12.2512
_cell_length_b 12.2512
_cell_length_c 12.3891
_cell_angle_alpha 90.00
_cell_angle_beta 90.00
_cell_angle_gamma 120.00
loop_
_atom_site_label
_atom_site_type_symbol
_atom_site_fract_x
_atom_site_fract_y
_atom_site_fract_z
Ce1 Ce 0.0449 0.8539 0.3638
Ce2 Ce 0.0479 0.1921 0.8613
Tc1 Tc 0.0000 0.0000 0.0000
Sb1 Sb 0.0041 0.5900 0.2520
# Total magnetization (μB/cell): 36.0
# E_tot (eV per atom): -6.098

***

# Ce5TcSb2 | Alexandria | PBE-GGA | relaxed
data_Ce5TcSb2
_chemical_formula_sum 'Ce20 Tc4 Sb8'
_symmetry_space_group_name_H-M 'C m c m'
_symmetry_Int_Tables_number 63
_symmetry_space_group_name_Hall '-C 2c 2'
_cell_length_a 5.898
_cell_length_b 9.554
_cell_length_c 15.591
_cell_angle_alpha 90.00
_cell_angle_beta 90.00
_cell_angle_gamma 90.00
loop_
_atom_site_label
_atom_site_type_symbol
_atom_site_fract_x
_atom_site_fract_y
_atom_site_fract_z
Ce1 Ce 0.000 0.068 0.097
Ce2 Ce 0.000 0.110 0.750
Ce3 Ce 0.000 0.416 0.127
Tc1 Tc 0.000 0.268 0.250
Sb1 Sb 0.000 0.263 0.569
# Total magnetization (μB/cell): 13.9
# E_tot (eV per atom): -6.301

***

# CeTcSb2 | Alexandria | PBE-GGA | relaxed
data_CeTcSb2
_chemical_formula_sum 'Ce3 Tc3 Sb6'
_symmetry_space_group_name_H-M 'R -3 m'
_symmetry_Int_Tables_number 166
_symmetry_space_group_name_Hall '-R 3 2"'
_cell_length_a 3.1786
_cell_length_b 3.1786
_cell_length_c 32.2958
_cell_angle_alpha 90.00
_cell_angle_beta 90.00
_cell_angle_gamma 120.00
loop_
_atom_site_label
_atom_site_type_symbol
_atom_site_fract_x
_atom_site_fract_y
_atom_site_fract_z
Ce1 Ce 0.0000 0.0000 0.0000
Tc1 Tc 0.0000 0.0000 0.5000
Sb1 Sb 0.0000 0.0000 0.4179
# Total magnetization (μB/cell): 3.4
# E_tot (eV per atom): -5.788

***

# Ce6Tc2Sb | Alexandria | PBE-GGA | relaxed
data_Ce6Tc2Sb
_chemical_formula_sum 'Ce12 Tc4 Sb2'
_symmetry_space_group_name_H-M 'C 1 2/m 1'
_symmetry_Int_Tables_number 12
_symmetry_space_group_name_Hall '-C 2y'
_cell_length_a 10.431
_cell_length_b 4.904
_cell_length_c 8.866
_cell_angle_alpha 90.00
_cell_angle_beta 94.39
_cell_angle_gamma 90.00
loop_
_atom_site_label
_atom_site_type_symbol
_atom_site_fract_x
_atom_site_fract_y
_atom_site_fract_z
Ce1 Ce 0.056 0.000 0.364
Ce2 Ce 0.103 0.500 0.666
Ce3 Ce 0.202 0.500 0.118
Tc1 Tc 0.233 0.500 0.383
Sb1 Sb 0.000 0.000 0.000
# Total magnetization (μB/cell): 0.0
# E_tot (eV per atom): -7.029

***

# Ce5TcSb2 | Alexandria | PBE-GGA | relaxed
data_Ce5TcSb2
_chemical_formula_sum 'Ce10 Tc2 Sb4'
_symmetry_space_group_name_H-M 'P b a m'
_symmetry_Int_Tables_number 55
_symmetry_space_group_name_Hall '-P 2 2ab'
_cell_length_a 7.879
_cell_length_b 12.213
_cell_length_c 4.604
_cell_angle_alpha 90.00
_cell_angle_beta 90.00
_cell_angle_gamma 90.00
loop_
_atom_site_label
_atom_site_type_symbol
_atom_site_fract_x
_atom_site_fract_y
_atom_site_fract_z
Ce1 Ce 0.000 0.000 0.000
Ce2 Ce 0.126 0.301 0.000
Ce3 Ce 0.209 0.558 0.500
Tc1 Tc 0.000 0.500 0.000
Sb1 Sb 0.089 0.822 0.500
# Total magnetization (μB/cell): 8.1
# E_tot (eV per atom): -6.637

***

| no. | formation energy without anion corrections (eV/atom) |
| --- | --- |
| 1 | -0.671 |
| 2 | -0.489 |
| 3 | -0.451 |
| 4 | -1.056 |
| 5 | -1.098 |
| 6 | -0.839 |
| 7 | -0.778 |
| 8 | -0.393 |
| 9 | -0.891 |
| 10 | -1.125 |
| 11 | -1.011 |
| 12 | -1.072 |
| 13 | -1.099 |
| 14 | -1.080 |
| 15 | -1.143 |
| 16 | -1.104 |
| 17 | -0.515 |
| 18 | -0.503 |
| 19 | -0.266 |
| 20 | 0.348 |
| 21 | -0.312 |
| 22 | -0.602 |